ScAsBr3: relaxed, PBE-GGA.

extended XYZ file:
```
5
Lattice="5.3647 0.0000 0.0000 0.0000 5.3647 0.0000 0.0000 0.0000 5.3647" Properties=species:S:1:pos:R:3 pbc="T T T"
Br 0.0000 0.0000 2.6823
Br 2.6823 0.0000 0.0000
Sc 0.0000 0.0000 0.0000
As 2.6823 2.6823 2.6823
Br 0.0000 2.6823 0.0000
```

Computed properties:
Symmetry: Pm-3m (221)
Energy relative to the lowest polymorph listed for this composition in meV/atom: 0
Formation energy from raw total energies in kcal/mol of atoms: -14.354
Energy in eV/f.u.: -19.11
DOS at the Fermi energy in states/eV per atom: 0.013

=====

ScAsBr2: relaxed, PBE-GGA.

extended XYZ file:
```
4
Lattice="-2.2294 2.4333 0.8960 0.9182 -1.1918 5.5215 3.4416 3.1162 0.1003" Properties=species:S:1:pos:R:3 pbc="T T T"
Br 0.0000 0.0000 0.0000
Sc 0.6061 2.7748 0.4981
As 2.1799 0.9622 2.8109
Br -0.6556 0.6208 3.2087
```

Computed properties:
Symmetry: Pmmm (47)
Energy relative to the lowest polymorph listed for this composition in meV/atom: 566
Formation energy from raw total energies in kcal/mol of atoms: -9.392
Energy in eV/f.u.: -15.96
DOS at the Fermi energy in states/eV per atom: 0.436

=====

ScAsBr: relaxed, PBE-GGA.

extended XYZ file:
```
12
Lattice="-2.3542 3.3466 4.2229 2.3647 -2.4158 3.2328 10.4197 7.4595 -2.0474" Properties=species:S:1:pos:R:3 pbc="T T T"
As 0.3867 3.3959 2.2548
Br 2.7308 4.9024 5.0499
Sc 8.5925 4.5794 0.5207
As 2.5946 4.2718 1.2944
Br 6.7583 9.8401 2.4098
As 6.7789 5.9177 2.8475
Br 6.1289 5.1577 -0.6288
Sc 6.6599 7.7007 0.8830
Sc 2.2004 2.0575 -0.0720
Br 2.1014 0.2201 2.0112
As 8.9867 6.7936 1.8870
Sc 2.6324 2.7631 3.5231
```

Computed properties:
Symmetry: Cm (8)
Energy relative to the lowest polymorph listed for this composition in meV/atom: 172
Formation energy from raw total energies in kcal/mol of atoms: -23.891
Energy in eV/f.u.: -15.76

=====

ScAs3Br: relaxed, PBE-GGA.

extended XYZ file:
```
5
Lattice="5.0073 0.0000 0.0000 0.0000 5.0073 0.0000 0.0000 0.0000 5.0073" Properties=species:S:1:pos:R:3 pbc="T T T"
As 2.5036 0.0000 0.0000
As 0.0000 0.0000 2.5036
Sc 2.5036 2.5036 2.5036
As 0.0000 2.5036 0.0000
Br 0.0000 0.0000 0.0000
```

Computed properties:
Symmetry: Pm-3m (221)
Energy relative to the lowest polymorph listed for this composition in meV/atom: 452
Formation energy from raw total energies in kcal/mol of atoms: 16.537
Energy in eV/f.u.: -18.37
DOS at the Fermi energy in states/eV per atom: 0.621

=====

ScAsBr: relaxed, PBE-GGA.

extended XYZ file:
```
6
Lattice="-2.0779 6.5035 2.1765 -3.3862 -1.4618 1.1351 2.3436 -1.3763 5.2190" Properties=species:S:1:pos:R:3 pbc="T T T"
As -0.4106 1.3315 0.4898
Br -2.7650 3.6617 3.0266
Sc -1.1681 5.7655 3.9400
Br 0.0999 3.7045 5.0686
Sc -1.6895 4.3465 7.1171
As -0.9319 -0.0875 3.6668
```

Computed properties:
Symmetry: Cm (8)
Energy relative to the lowest polymorph listed for this composition in meV/atom: 260
Formation energy from raw total energies in kcal/mol of atoms: -21.859
Energy in eV/f.u.: -15.50
DOS at the Fermi energy in states/eV per atom: 0.347

=====

Sc2As2Br: relaxed, PBE-GGA.

extended XYZ file:
```
5
Lattice="-4.3893 1.4876 -1.9508 -0.6410 -4.5549 -2.0313 -4.6724 -2.9224 1.8038" Properties=species:S:1:pos:R:3 pbc="T T T"
Sc -3.9142 -4.5055 -1.1093
Br 0.0000 0.0000 0.0000
As -6.5987 -4.0770 -1.2231
As -3.1039 -1.9127 -0.9553
Sc -5.7884 -1.4842 -1.0690
```

Computed properties:
Symmetry: I4/mmm (139)
Energy relative to the lowest polymorph listed for this composition in meV/atom: 105
Formation energy from raw total energies in kcal/mol of atoms: -21.781
Energy in eV/f.u.: -28.36
DOS at the Fermi energy in states/eV per atom: 1.067

=====

ScAsBr3: relaxed, PBE-GGA.

extended XYZ file:
```
5
Lattice="5.3757 0.0000 0.0000 0.0000 5.3757 0.0000 0.0000 0.0000 5.3757" Properties=species:S:1:pos:R:3 pbc="T T T"
Sc 2.6879 2.6879 2.6879
Br 0.0000 0.0000 2.6879
Br 0.0000 2.6879 0.0000
As 0.0000 0.0000 0.0000
Br 2.6879 0.0000 0.0000
```

Computed properties:
Symmetry: Pm-3m (221)
Energy relative to the lowest polymorph listed for this composition in meV/atom: 695
Formation energy from raw total energies in kcal/mol of atoms: 1.681
Energy in eV/f.u.: -15.64
DOS at the Fermi energy in states/eV per atom: 2.304

=====

Sc4AsBr5: relaxed, PBE-GGA.

extended XYZ file:
```
10
Lattice="3.7665 0.0000 -0.8202 -0.3955 7.7041 -1.8163 -0.0453 0.1465 8.8501" Properties=species:S:1:pos:R:3 pbc="T T T"
Br 2.8464 5.2613 4.0127
Br 1.6855 3.8520 -1.3182
Sc 2.4039 0.6510 1.9810
Br 0.2998 6.5119 1.3766
Sc -0.0813 1.6967 -0.3733
Br 0.4793 2.5892 2.2009
As 1.8832 0.0000 -0.4101
Br 3.0259 1.3386 4.8370
Sc 3.4069 6.1538 6.5870
Sc 0.9217 7.1995 4.2326
```

Computed properties:
Symmetry: C2/m (12)
Formation energy from raw total energies in kcal/mol of atoms: -33.175
Energy in eV/f.u.: -52.73
DOS at the Fermi energy in states/eV per atom: 0.391

=====

ScAsBr: relaxed, PBE-GGA.

extended XYZ file:
```
3
Lattice="-3.3980 -0.8733 3.1173 -0.4460 -1.4763 -4.4327 1.4950 -2.9028 0.8163" Properties=species:S:1:pos:R:3 pbc="T T T"
Br -0.6822 -2.7273 -1.5077
As 1.4948 -2.9025 0.8163
Sc -1.6667 -2.5254 1.0087
```

Computed properties:
Symmetry: P-6m2 (187)
Energy relative to the lowest polymorph listed for this composition in meV/atom: 585
Formation energy from raw total energies in kcal/mol of atoms: -14.366
Energy in eV/f.u.: -14.52
DOS at the Fermi energy in states/eV per atom: 0.786

=====

ScAsBr: relaxed, PBE-GGA.

extended XYZ file:
```
6
Lattice="3.5971 -0.6675 -0.2885 -0.5269 7.2164 -0.1470 -0.7679 2.5891 6.5254" Properties=species:S:1:pos:R:3 pbc="T T T"
Sc 1.7367 2.5866 3.4378
Sc 0.5655 6.5514 2.6521
Br 1.9425 4.5101 1.3725
As -0.9033 8.2264 4.3244
Br 0.3597 4.6279 4.7173
As 3.2055 0.9117 1.7655
```

Computed properties:
Symmetry: P-1 (2)
Energy relative to the lowest polymorph listed for this composition in meV/atom: 0
Formation energy from raw total energies in kcal/mol of atoms: -27.856
Energy in eV/f.u.: -16.28
DOS at the Fermi energy in states/eV per atom: 0.149